Compound: NbGe2I
Source: Alexandria via LeMat-Bulk
Functional: PBE
Structure: relaxed

Structure (POSCAR):
```
NbGe2I
1.0
-1.728 6.143 0.388
-4.027 -1.433 4.754
1.822 3.405 6.868
Ge Nb I
4 2 2
direct
0.875 0.799 0.750
0.375 0.451 0.750
0.549 0.125 0.250
0.201 0.625 0.250
0.500 0.500 0.000
0.250 0.750 0.500
0.000 0.000 0.000
0.750 0.250 0.500
```

Fermi-level density of states   8.05 states/eV per cell
E   -4.488 eV per atom
ΔE to the lowest computed polymorph   0.000 kcal/mol of atoms
Space-group type   I-42d, No. 122
Spin magnetization   0.00 μB per formula unit
Uncorrected formation energy   725 meV per atom